## ErZn4Au12 (PBE)

Data for a geometry-optimized ErZn4Au12 structure.

Formation energy = 0.012 eV/atom
Mass density = 13136 kg/m³
Total moment = 0.00 μB/cell

extended XYZ file:
```
17
Lattice="-3.296 -5.976 -3.590 6.020 2.479 -4.132 2.411 -2.208 6.984" Properties=species:S:1:pos:R:3 pbc="T T T"
Au 5.414 -1.079 2.399
Au 5.299 0.220 -1.786
Au 5.019 -2.371 -0.712
Au -0.164 -5.925 1.048
Au 2.745 -1.165 1.496
Au -0.279 -4.626 -3.137
Au 2.047 -3.445 3.907
Au 0.116 -3.334 -0.026
Au 3.089 -2.260 -4.645
Au 2.909 -4.552 1.463
Au 2.226 -1.153 -2.201
Au 2.390 -4.541 -2.234
Zn 1.205 -1.104 3.492
Zn 2.568 -2.853 -0.369
Zn 3.010 1.240 -2.066
Zn -1.648 -2.988 -1.795
Er 0.000 0.000 0.000
```